# PmMnFeB3, optimized geometry, DFT GGA-PBE
# **Final energy**: -87.519 eV for the cell shown
# **Total magnetic moment**: 0.00 μB/f.u.
data_PmMnFeB3
_space_group_name_H-M_alt 'P 1'
_space_group_IT_number 1
_space_group_name_Hall 'P 1'
_cell_length_a 5.5301
_cell_length_b 5.4006
_cell_length_c 5.5107
_cell_angle_alpha 119.34
_cell_angle_beta 90.00
_cell_angle_gamma 90.00
loop_
_atom_site_label
_atom_site_fract_x
_atom_site_fract_y
_atom_site_fract_z
Pm1 0.7500 0.2546 0.5091
Pm2 0.2500 0.7454 0.4909
Mn1 0.2500 0.0466 0.0932
Mn2 0.7500 0.9534 0.9068
Fe1 0.2500 0.4393 0.8787
Fe2 0.7500 0.5607 0.1213
B1 0.2500 0.2423 0.4845
B2 0.0000 0.2598 0.0000
B3 0.5000 0.7402 0.0000
B4 0.5000 0.2598 0.0000
B5 0.0000 0.7402 0.0000
B6 0.7500 0.7577 0.5155

# La2TlSi, optimized geometry, DFT GGA-PBE
# **ΔE_f (raw)**: -0.41 eV per atom
# **Total magnetic moment**: 0.00 μB/f.u.
data_La2TlSi
_space_group_name_H-M_alt 'P 1'
_space_group_IT_number 1
_space_group_name_Hall 'P 1'
_cell_length_a 4.3228
_cell_length_b 4.3228
_cell_length_c 8.5757
_cell_angle_alpha 75.39
_cell_angle_beta 75.39
_cell_angle_gamma 60.01
loop_
_atom_site_label
_atom_site_fract_x
_atom_site_fract_y
_atom_site_fract_z
La1 0.0149 0.0149 0.9556
La2 0.4851 0.4851 0.5444
Si1 0.7500 0.7500 0.7500
Tl1 0.2500 0.2500 0.2500